Arrangement P

The following is a PBE-GGA calculation of a geometry-optimized PuTi2Ni structure, from Alexandria via LeMat-Bulk.

abc: 2.8426 2.8426 29.2915
angles: 90.00 90.00 120.00
Space group R-3m (No. 166, hexagonal axes)
Inequivalent atoms, fractional coordinates:
Pu (0.0000, 0.0000, 0.0000) (multiplicity 3)
Ti (0.0000, 0.0000, 0.0976) (multiplicity 6)
Ni (0.0000, 0.0000, 0.5000) (multiplicity 3)

Fermi-level density of states	8.19	states/eV/f.u.
total magnetization	4.30	μB/f.u.

Arrangement Q

The following is a PBE-GGA calculation of a geometry-optimized PuTi2Ni structure, from Alexandria via LeMat-Bulk.

abc: 3.063 3.063 7.186
angles: 90.00 90.00 90.00
Space group P4/mmm (No. 123)
Inequivalent atoms, fractional coordinates:
Pu (0.000, 0.000, 0.000) (multiplicity 1)
Ti (0.500, 0.500, 0.295) (multiplicity 2)
Ni (0.000, 0.000, 0.500) (multiplicity 1)

Fermi-level density of states	6.01	states/eV/f.u.
total magnetization	4.83	μB/f.u.

arrangement Q (334 meV/atom below the next structure)

Arrangement P

The following is a PBE-GGA calculation of a geometry-optimized TmPuNi2 structure, from Alexandria via LeMat-Bulk.

abc: 6.692 6.692 6.692
angles: 90.00 90.00 90.00
Space group Fm-3m (No. 225)
Inequivalent atoms, fractional coordinates:
Tm (0.000, 0.000, 0.000) (multiplicity 4)
Pu (0.000, 0.000, 0.500) (multiplicity 4)
Ni (0.250, 0.250, 0.250) (multiplicity 8)

Fermi-level density of states	14.00	states/eV/f.u.
total magnetization	5.28	μB/f.u.

Arrangement Q

The following is a PBE-GGA calculation of a geometry-optimized TmPuNi2 structure, from Alexandria via LeMat-Bulk.

abc: 4.791 4.791 3.228
angles: 90.00 90.00 90.00
Space group P4/mmm (No. 123)
Inequivalent atoms, fractional coordinates:
Tm (0.000, 0.000, 0.000) (multiplicity 1)
Pu (0.500, 0.500, 0.000) (multiplicity 1)
Ni (0.000, 0.500, 0.500) (multiplicity 2)

Fermi-level density of states	11.40	states/eV/f.u.
total magnetization	5.20	μB/f.u.

arrangement Q (37 meV/atom below the next structure)

Arrangement P

The following is a PBE-GGA calculation of a geometry-optimized TmPuNi structure, from Alexandria via LeMat-Bulk.

abc: 3.342 3.342 11.977
angles: 90.00 90.00 90.00
Space group I4mm (No. 107)
Inequivalent atoms, fractional coordinates:
Tm (0.000, 0.000, 0.000) (multiplicity 2)
Pu (0.000, 0.000, 0.727) (multiplicity 2)
Ni (0.000, 0.000, 0.373) (multiplicity 2)

Fermi-level density of states	9.14	states/eV/f.u.
total magnetization	6.07	μB/f.u.

Arrangement Q

The following is a PBE-GGA calculation of a geometry-optimized TmPuNi structure, from Alexandria via LeMat-Bulk.

abc: 3.5612 3.5612 19.5311
angles: 90.00 90.00 120.00
Space group R3m (No. 160, hexagonal axes)
Inequivalent atoms, fractional coordinates:
Tm (0.0000, 0.0000, 0.0000) (multiplicity 3)
Pu (0.0000, 0.0000, 0.1845) (multiplicity 3)
Ni (0.0000, 0.0000, 0.4239) (multiplicity 3)

Fermi-level density of states	10.33	states/eV/f.u.
total magnetization	5.82	μB/f.u.

Arrangement R

The following is a PBE-GGA calculation of a geometry-optimized TmPuNi structure, from Alexandria via LeMat-Bulk.

abc: 3.6854 3.6854 6.2827
angles: 90.00 90.00 120.00
Space group P3m1 (No. 156)
Inequivalent atoms, fractional coordinates:
Tm (0.0000, 0.0000, 0.0000) (multiplicity 1)
Pu (0.3333, 0.6667, 0.5246) (multiplicity 1)
Ni (0.6667, 0.3333, 0.2580) (multiplicity 1)

Fermi-level density of states	10.38	states/eV/f.u.
total magnetization	6.02	μB/f.u.

arrangement P (135 meV/atom below the next structure)

Arrangement P

The following is a PBE-GGA calculation of a geometry-optimized PuUNi structure, from Alexandria via LeMat-Bulk.

abc: 4.000 14.493 3.467
angles: 90.00 90.00 90.00
Space group Cmcm (No. 63)
Inequivalent atoms, fractional coordinates:
Pu (0.000, 0.056, 0.250) (multiplicity 4)
U (0.000, 0.385, 0.250) (multiplicity 4)
Ni (0.000, 0.240, 0.750) (multiplicity 4)

Fermi-level density of states	5.74	states/eV/f.u.
total magnetization	0.00	μB/f.u.

Arrangement Q

The following is a PBE-GGA calculation of a geometry-optimized PuUNi structure, from Alexandria via LeMat-Bulk.

abc: 3.508 3.508 9.049
angles: 90.00 90.00 90.00
Space group I4mm (No. 107)
Inequivalent atoms, fractional coordinates:
Pu (0.000, 0.000, 0.000) (multiplicity 2)
U (0.000, 0.000, 0.677) (multiplicity 2)
Ni (0.000, 0.000, 0.329) (multiplicity 2)

Fermi-level density of states	5.96	states/eV/f.u.
total magnetization	7.10	μB/f.u.

arrangement Q (100 meV/atom below the next structure)